Version P
DFT (PBE-GGA) results for Tb8Pm3Dy2 after structural relaxation.

Summary:
V ... 32.37 Å³/atom
Spin magnetization ... 0.00 μB/f.u.

a = 20.8299 Å, b = 5.0586 Å, c = 8.0112 Å
α = 90.00°, β = 94.33°, γ = 90.00°
With the nearest neighbours (Å) after each atom.
Space group C2/m (No. 12)
Unique sites:
Tb (0.0781, 0.0000, 0.1147) x4  1 Dy 3.56, 6 Tb 3.56-3.61, 5 Pm 3.58-3.60
Tb (0.1168, 0.5000, 0.4219) x4  3 Dy 3.55-3.56, 5 Tb 3.56-3.58, 4 Pm 3.59-3.60
Tb (0.1552, 0.0000, 0.7304) x4  6 Tb 3.54-3.58, 3 Dy 3.55-3.56, 3 Pm 3.59-3.60
Tb (0.1929, 0.5000, 0.0387) x4  8 Tb 3.54-3.58, 3 Dy 3.57-3.58, 1 Pm 3.58
Pm (0.0000, 0.0000, 0.5000) x2  4 Pm 3.58, 8 Tb 3.60
Pm (0.0389, 0.5000, 0.8072) x4  3 Pm 3.58-3.59, 9 Tb 3.58-3.60
Dy (0.2310, 0.0000, 0.3463) x4  10 Tb 3.55-3.58, 2 Dy 3.58

---

Version Q
DFT (PBE-GGA) results for Tb8Pm3Dy2 after structural relaxation.

Summary:
V ... 33.82 Å³/atom
Spin magnetization ... 0.00 μB/f.u.

a = 20.1516 Å, b = 7.7026 Å, c = 5.6654 Å
α = 90.00°, β = 90.03°, γ = 90.00°
With the nearest neighbours (Å) after each atom.
Space group C2/m (No. 12)
Unique sites:
Tb (0.1085, 0.2092, 0.0003) x8  1 Pm 3.13, 3 Tb 3.22-3.50, 2 Dy 3.43-3.49
Tb (0.1348, 0.5000, 0.4997) x4  4 Pm 3.52-3.93, 2 Dy 3.55-3.56, 7 Tb 3.65-3.92
Tb (0.1713, 0.0000, 0.5009) x4  2 Dy 3.33, 4 Tb 3.49-3.50
Pm (0.0000, 0.2093, 0.5000) x4  1 Pm 3.22, 6 Tb 3.52-3.58
Pm (0.0000, 0.5000, 0.0000) x2  4 Tb 3.13
Dy (0.2415, 0.5000, 0.9989) x4  8 Tb 3.33-3.56

---

Which structure wins on stability? version P wins.

---

Version P
DFT (PBE-GGA) results for Tb3PmDy3 after structural relaxation.

Summary:
V ... 33.69 Å³/atom
Spin magnetization ... 0.00 μB/f.u.

a = 6.1778 Å, b = 6.1778 Å, c = 42.8136 Å
α = 90.00°, β = 90.00°, γ = 120.00°
With the nearest neighbours (Å) after each atom.
Space group R-3 (No. 148, hexagonal axes)
Unique sites:
Tb (0.0001, 0.3340, 0.4326) x18  3 Dy 3.49, 2 Pm 3.54-3.55, 6 Tb 3.56-3.57
Pm (0.0000, 0.0000, 0.1667) x6  6 Tb 3.54-3.55, 3 Pm 3.57
Dy (0.0000, 0.3318, 0.6332) x18  3 Tb 3.49, 9 Dy 3.52-3.57

---

Version Q
DFT (PBE-GGA) results for Tb3PmDy3 after structural relaxation.

Summary:
V ... 32.38 Å³/atom
Spin magnetization ... 0.00 μB/f.u.

a = 9.5836 Å, b = 9.5836 Å, c = 5.6988 Å
α = 90.00°, β = 90.00°, γ = 120.00°
With the nearest neighbours (Å) after each atom.
Space group P6_3/m (No. 176)
Unique sites:
Tb (0.0958, 0.4764, 0.2500) x6  3 Pm 3.53-3.63, 4 Tb 3.54-3.62, 5 Dy 3.54-3.64
Pm (0.3333, 0.6667, 0.7500) x2  9 Tb 3.53-3.63, 3 Dy 3.63
Dy (0.0482, 0.2365, 0.7500) x6  6 Dy 3.52-3.59, 5 Tb 3.54-3.64, 1 Pm 3.63

---

Which structure wins on stability? version Q wins.

---

Version P
DFT (PBE-GGA) results for Tb5Pm2Dy12 after structural relaxation.

Summary:
V ... 31.81 Å³/atom
Spin magnetization ... 0.00 μB/f.u.

a = 6.1605 Å, b = 9.4099 Å, c = 11.2405 Å
α = 90.05°, β = 100.53°, γ = 109.03°
With the nearest neighbours (Å) after each atom.
Space group P-1 (No. 2)
Unique sites:
Tb (0.0000, 0.0000, 0.0000) x1  10 Dy 3.54-3.56, 2 Tb 3.56
Tb (0.2648, 0.8436, 0.5267) x2  1 Tb 3.54, 9 Dy 3.54-3.57, 2 Pm 3.57-3.58
Tb (0.4737, 0.3154, 0.9473) x2  10 Dy 3.54-3.56, 2 Tb 3.56
Pm (0.2103, 0.4737, 0.4202) x2  8 Dy 3.56-3.58, 2 Pm 3.56-3.57, 2 Tb 3.57-3.58
Dy (0.0524, 0.3680, 0.1042) x2  7 Dy 3.53-3.57, 4 Tb 3.55-3.56, 1 Pm 3.56
Dy (0.1059, 0.7380, 0.2097) x2  7 Dy 3.53-3.57, 4 Tb 3.54-3.57, 1 Pm 3.56
Dy (0.1579, 0.1047, 0.3149) x2  7 Dy 3.54-3.57, 4 Tb 3.54-3.56, 1 Pm 3.56
Dy (0.3139, 0.2089, 0.6323) x2  4 Tb 3.54-3.56, 6 Dy 3.54-3.57, 2 Pm 3.58
Dy (0.3689, 0.5791, 0.7386) x2  3 Tb 3.54-3.57, 6 Dy 3.55-3.57, 3 Pm 3.56-3.58
Dy (0.4205, 0.9475, 0.8426) x2  7 Dy 3.54-3.56, 5 Tb 3.55-3.56

---

Version Q
DFT (PBE-GGA) results for Tb5Pm2Dy12 after structural relaxation.

Summary:
V ... 32.67 Å³/atom
Spin magnetization ... 0.00 μB/f.u.

a = 15.7220 Å, b = 9.2361 Å, c = 8.5532 Å
α = 90.00°, β = 91.37°, γ = 90.00°
With the nearest neighbours (Å) after each atom.
Space group C2/m (No. 12)
Unique sites:
Tb (0.0000, 0.0000, 0.0000) x2  10 Dy 3.52-3.72, 2 Tb 3.67
Tb (0.1994, 0.5000, 0.5124) x4  8 Dy 3.42-3.67, 2 Pm 3.55, 1 Tb 3.68
Tb (0.2309, 0.0000, 0.0740) x4  8 Dy 3.37-3.50, 2 Tb 3.67-3.68
Pm (0.0000, 0.3197, 0.5000) x4  1 Pm 3.33, 8 Dy 3.40-3.59, 2 Tb 3.55
Dy (0.0583, 0.5000, 0.8325) x4  2 Tb 3.39-3.57, 2 Pm 3.40, 7 Dy 3.41-3.45
Dy (0.0892, 0.0000, 0.3815) x4  3 Tb 3.42-3.52, 2 Pm 3.43, 5 Dy 3.49-3.63
Dy (0.1271, 0.3086, 0.1577) x8  4 Tb 3.37-3.72, 5 Dy 3.41-3.54, 1 Pm 3.59
Dy (0.1541, 0.1802, 0.7427) x8  4 Dy 3.33-3.63, 1 Pm 3.41, 4 Tb 3.48-3.71

---

Which structure wins on stability? version P wins.

---

Version P
DFT (PBE-GGA) results for Tb2Pm5Dy after structural relaxation.

Summary:
V ... 33.73 Å³/atom
Spin magnetization ... 0.00 μB/f.u.

a = 7.3275 Å, b = 25.3995 Å, c = 5.7989 Å
α = 90.00°, β = 90.27°, γ = 90.00°
With the nearest neighbours (Å) after each atom.
Space group C2/c (No. 15)
Unique sites:
Tb (0.0000, 0.0418, 0.2500) x4  8 Pm 3.57-3.66, 2 Tb 3.59, 2 Dy 3.66
Tb (0.0000, 0.2071, 0.7500) x4  12 Pm 3.57-3.69
Pm (0.0000, 0.2929, 0.2500) x4  8 Pm 3.58-3.69, 4 Tb 3.63-3.66
Pm (0.2493, 0.1668, 0.2497) x8  4 Tb 3.57-3.69, 7 Pm 3.58-3.69, 1 Dy 3.65
Pm (0.2502, 0.0818, 0.7495) x8  3 Dy 3.57-3.65, 4 Tb 3.57-3.67, 5 Pm 3.61-3.67
Dy (0.0000, 0.4576, 0.7500) x4  8 Pm 3.57-3.65, 2 Dy 3.61, 2 Tb 3.66

---

Version Q
DFT (PBE-GGA) results for Tb2Pm5Dy after structural relaxation.

Summary:
V ... 33.38 Å³/atom
Spin magnetization ... 0.00 μB/f.u.

a = 7.2305 Å, b = 14.4647 Å, c = 5.1063 Å
α = 90.00°, β = 90.00°, γ = 90.00°
With the nearest neighbours (Å) after each atom.
Space group Pbam (No. 55)
Unique sites:
Tb (0.2497, 0.1243, 0.0000) x4  10 Pm 3.60-3.64, 2 Dy 3.61
Pm (0.0000, 0.0000, 0.5000) x2  4 Tb 3.61, 6 Pm 3.61-3.63, 2 Dy 3.62
Pm (0.0009, 0.7491, 0.5000) x4  1 Dy 3.60, 4 Tb 3.61-3.63, 7 Pm 3.61-3.63
Pm (0.2488, 0.3757, 0.0000) x4  4 Tb 3.60-3.64, 2 Dy 3.60, 6 Pm 3.61-3.63
Dy (0.0000, 0.5000, 0.5000) x2  8 Pm 3.60-3.62, 4 Tb 3.61

---

Which structure wins on stability? version Q wins.

---

Version P
DFT (PBE-GGA) results for Tb7Pm12Dy after structural relaxation.

Summary:
V ... 34.52 Å³/atom
Spin magnetization ... 0.00 μB/f.u.

a = 19.6224 Å, b = 19.6224 Å, c = 6.2118 Å
α = 90.00°, β = 90.00°, γ = 120.00°
With the nearest neighbours (Å) after each atom.
Space group R-3 (No. 148, hexagonal axes)
Unique sites:
Tb (0.0000, 0.0000, 0.0000) x3  2 Dy 3.11, 6 Tb 3.32
Tb (0.0822, 0.1638, 0.2918) x18  1 Dy 3.07, 4 Pm 3.32-3.36, 1 Tb 3.32
Pm (0.0002, 0.4128, 0.9999) x18  2 Tb 3.36, 5 Pm 3.40-3.73
Pm (0.0972, 0.5489, 0.4622) x18  4 Tb 3.32-3.60, 1 Pm 3.34
Dy (0.0000, 0.0000, 0.5000) x3  8 Tb 3.07-3.11

---

Version Q
DFT (PBE-GGA) results for Tb7Pm12Dy after structural relaxation.

Summary:
V ... 34.12 Å³/atom
Spin magnetization ... 0.00 μB/f.u.

a = 12.9399 Å, b = 12.9399 Å, c = 14.1162 Å
α = 90.00°, β = 90.00°, γ = 120.00°
With the nearest neighbours (Å) after each atom.
Space group R-3 (No. 148, hexagonal axes)
Unique sites:
Tb (0.0000, 0.0000, 0.0000) x3  6 Pm 3.15
Tb (0.0670, 0.8689, 0.3492) x18  1 Dy 3.10, 2 Pm 3.13-3.37, 1 Tb 3.17
Pm (0.0005, 0.5671, 0.2499) x18  3 Tb 3.37-3.66, 3 Pm 3.41-3.71
Pm (0.0666, 0.1990, 0.8452) x18  2 Tb 3.13-3.15, 2 Pm 3.15-3.41
Dy (0.0000, 0.0000, 0.5000) x3  6 Tb 3.10

---

Which structure wins on stability? version P wins.

---

Version P
DFT (PBE-GGA) results for TbPm2Dy4 after structural relaxation.

Summary:
V ... 32.46 Å³/atom
Spin magnetization ... 0.00 μB/f.u.

a = 6.0902 Å, b = 6.6173 Å, c = 11.6721 Å
α = 90.00°, β = 104.96°, γ = 90.00°
With the nearest neighbours (Å) after each atom.
Space group P2_1/m (No. 11)
Unique sites:
Tb (0.0221, 0.2500, 0.3574) x2  2 Pm 3.35-3.47, 6 Dy 3.36-3.46
Pm (0.1538, 0.2500, 0.9467) x2  9 Dy 3.32-3.53
Pm (0.4000, 0.7500, 0.5071) x2  2 Tb 3.35-3.47, 5 Dy 3.40-3.75, 2 Pm 3.54
Dy (0.1468, 0.2500, 0.6614) x2  2 Pm 3.32-3.40, 3 Tb 3.43-3.46, 2 Dy 3.46
Dy (0.2843, 0.7500, 0.9268) x2  4 Pm 3.36-3.42, 1 Tb 3.36, 4 Dy 3.52-3.63
Dy (0.3476, 0.5047, 0.2118) x4  5 Dy 3.25-3.63, 1 Tb 3.38, 2 Pm 3.45-3.53

---

Version Q
DFT (PBE-GGA) results for TbPm2Dy4 after structural relaxation.

Summary:
V ... 32.52 Å³/atom
Spin magnetization ... 0.00 μB/f.u.

a = 16.8530 Å, b = 3.5447 Å, c = 8.7895 Å
α = 90.00°, β = 119.88°, γ = 90.00°
With the nearest neighbours (Å) after each atom.
Space group C2/m (No. 12)
Unique sites:
Tb (0.0000, 0.0000, 0.0000) x2  2 Pm 3.35, 2 Tb 3.54, 4 Dy 3.58
Pm (0.0696, 0.0000, 0.4294) x4  1 Pm 3.15, 1 Dy 3.34, 1 Tb 3.35
Dy (0.1449, 0.5000, 0.8443) x4  7 Dy 3.54-3.75, 4 Pm 3.65-3.67, 2 Tb 3.78
Dy (0.2049, 0.5000, 0.2926) x4  3 Pm 3.34-3.54, 5 Dy 3.54-3.64, 2 Tb 3.58

---

Which structure wins on stability? version Q wins.

---

Version P
DFT (PBE-GGA) results for Tb12Pm6Dy after structural relaxation.

Summary:
V ... 33.45 Å³/atom
Spin magnetization ... 0.00 μB/f.u.

a = 12.3322 Å, b = 12.3322 Å, c = 14.4768 Å
α = 90.00°, β = 90.00°, γ = 120.00°
With the nearest neighbours (Å) after each atom.
Space group R-3 (No. 148, hexagonal axes)
Unique sites:
Tb (0.0533, 0.8697, 0.3050) x18  4 Tb 3.30-3.49, 1 Dy 3.47, 4 Pm 3.58-3.66
Tb (0.0678, 0.1961, 0.9048) x18  6 Tb 3.30-3.69, 3 Pm 3.33-3.56
Pm (0.0265, 0.5840, 0.2170) x18  7 Tb 3.33-3.66, 1 Dy 3.47, 2 Pm 3.69
Dy (0.0000, 0.0000, 0.5000) x3  6 Pm 3.47, 6 Tb 3.47

---

Version Q
DFT (PBE-GGA) results for Tb12Pm6Dy after structural relaxation.

Summary:
V ... 33.98 Å³/atom
Spin magnetization ... 0.00 μB/f.u.

a = 13.2933 Å, b = 13.2933 Å, c = 12.6560 Å
α = 90.00°, β = 90.00°, γ = 120.00°
With the nearest neighbours (Å) after each atom.
Space group R-3m (No. 166, hexagonal axes)
Unique sites:
Tb (0.0000, 0.2581, 0.0000) x18  6 Tb 3.36-3.55, 4 Pm 3.50-3.57
Tb (0.0909, 0.1818, 0.7647) x18  6 Tb 3.36-3.63, 2 Pm 3.74
Pm (0.0410, 0.5205, 0.1165) x18  1 Pm 3.10, 1 Dy 3.42
Dy (0.0000, 0.0000, 0.5000) x3  6 Pm 3.42

---

Which structure wins on stability? version P wins.

---

Version P
DFT (PBE-GGA) results for Tb2PmDy4 after structural relaxation.

Summary:
V ... 32.08 Å³/atom
Spin magnetization ... 0.00 μB/f.u.

a = 6.0627 Å, b = 6.5965 Å, c = 11.5773 Å
α = 90.00°, β = 104.05°, γ = 90.00°
With the nearest neighbours (Å) after each atom.
Space group P2_1/m (No. 11)
Unique sites:
Tb (0.1004, 0.2500, 0.4919) x2  2 Pm 3.34-3.40, 5 Dy 3.41-3.74, 2 Tb 3.54
Tb (0.3423, 0.7500, 0.0518) x2  9 Dy 3.29-3.55
Pm (0.4652, 0.7500, 0.6391) x2  6 Dy 3.33-3.46, 2 Tb 3.34-3.40
Dy (0.1526, 0.0079, 0.7895) x4  4 Dy 3.19-3.48, 1 Pm 3.33, 2 Tb 3.43-3.55
Dy (0.2195, 0.2500, 0.0760) x2  4 Tb 3.34-3.41, 1 Pm 3.39, 4 Dy 3.48-3.61
Dy (0.3545, 0.7500, 0.3376) x2  2 Tb 3.29-3.41, 3 Pm 3.39-3.46, 2 Dy 3.46

---

Version Q
DFT (PBE-GGA) results for Tb2PmDy4 after structural relaxation.

Summary:
V ... 32.14 Å³/atom
Spin magnetization ... 0.00 μB/f.u.

a = 16.7062 Å, b = 3.5327 Å, c = 8.7583 Å
α = 90.00°, β = 119.49°, γ = 90.00°
With the nearest neighbours (Å) after each atom.
Space group C2/m (No. 12)
Unique sites:
Tb (0.0701, 0.0000, 0.4296) x4  1 Tb 3.14, 3 Dy 3.32-3.50, 1 Pm 3.35
Pm (0.0000, 0.0000, 0.0000) x2  2 Tb 3.35, 2 Pm 3.53, 4 Dy 3.58
Dy (0.1425, 0.5000, 0.8364) x4  7 Dy 3.53-3.75, 4 Tb 3.61, 2 Pm 3.77
Dy (0.2053, 0.5000, 0.2939) x4  3 Tb 3.32-3.50, 7 Dy 3.53-3.71, 2 Pm 3.58

---

Which structure wins on stability? version Q wins.

---

Version P
DFT (PBE-GGA) results for Tb3Pm2Dy2 after structural relaxation.

Summary:
V ... 32.44 Å³/atom
Spin magnetization ... 0.00 μB/f.u.

a = 11.8519 Å, b = 3.5807 Å, c = 10.7576 Å
α = 90.00°, β = 95.76°, γ = 90.00°
With the nearest neighbours (Å) after each atom.
Space group C2/m (No. 12)
Unique sites:
Tb (0.0000, 0.0000, 0.0000) x2  6 Pm 3.58-3.59, 2 Tb 3.58, 4 Dy 3.60
Tb (0.1425, 0.0000, 0.5705) x4  5 Dy 3.56-3.58, 5 Tb 3.56-3.58, 2 Pm 3.58
Pm (0.2143, 0.5000, 0.8557) x4  3 Dy 3.57-3.58, 5 Tb 3.58-3.59, 4 Pm 3.58-3.61
Dy (0.0711, 0.5000, 0.2875) x4  7 Tb 3.56-3.60, 3 Pm 3.57-3.58, 2 Dy 3.58

---

Version Q
DFT (PBE-GGA) results for Tb3Pm2Dy2 after structural relaxation.

Summary:
V ... 33.00 Å³/atom
Spin magnetization ... 0.00 μB/f.u.

a = 17.5579 Å, b = 3.5138 Å, c = 8.5781 Å
α = 90.00°, β = 119.20°, γ = 90.00°
With the nearest neighbours (Å) after each atom.
Space group C2/m (No. 12)
Unique sites:
Tb (0.0000, 0.0000, 0.0000) x2  4 Tb 3.33-3.51, 2 Dy 3.55, 4 Pm 3.59
Tb (0.2118, 0.0000, 0.2996) x4  5 Tb 3.33-3.51, 3 Pm 3.45-3.60, 3 Dy 3.60-3.61
Pm (0.0663, 0.5000, 0.4117) x4  3 Pm 3.34-3.51, 5 Tb 3.45-3.60, 2 Dy 3.62
Dy (0.1491, 0.0000, 0.8325) x4  4 Dy 3.51-3.74, 4 Tb 3.55-3.61, 4 Pm 3.62-3.75

---

Which structure wins on stability? version P wins.